The following is a DFT calculation (GGA-PBE) of an optimized crystal structure of Sc2SiOs.

Cell lengths 6.3676, 6.3676, 6.3676 Å; angles 90.00, 90.00, 90.00 degrees
Closest atoms and distances in Å follow each position.
Space group F-43m (No. 216)
Inequivalent atoms, fractional coordinates:
Sc 0.0000 0.0000 0.0000 [4 per cell]  4 Os 2.76, 4 Sc 2.76
Sc 0.2500 0.2500 0.2500 [4 per cell]  4 Si 2.76, 4 Sc 2.76
Si 0.0000 0.0000 0.5000 [4 per cell]  4 Os 2.76, 4 Sc 2.76
Os 0.2500 0.2500 0.7500 [4 per cell]  4 Sc 2.76, 4 Si 2.76

E	-124.6	eV for the cell shown